Record 1
# NbInBi3 | Alexandria via LeMat-Bulk | PBE | relaxed
data_NbInBi3
_chemical_formula_sum 'Nb1 In1 Bi3'
_cell_length_a 5.6099
_cell_length_b 5.6099
_cell_length_c 5.6099
_cell_angle_alpha 90.00
_cell_angle_beta 90.00
_cell_angle_gamma 90.00
_space_group_name_H-M_alt 'P 1'
_space_group_IT_number 1
_space_group_name_Hall 'P 1'
loop_
_atom_site_label
_atom_site_fract_x
_atom_site_fract_y
_atom_site_fract_z
Bi1 0.0000 0.5000 0.0000
Bi2 0.0000 0.0000 0.5000
Bi3 0.5000 0.0000 0.0000
In1 0.0000 0.0000 0.0000
Nb1 0.5000 0.5000 0.5000
# - ρ: 7.85 g cm⁻³
# - M_tot: 0.10 μB/f.u.
# - Polymorph energy (0 for the lowest one): 1.080 eV/atom
# - Uncorrected energy: -3.439 eV per atom

***

Record 2
# NbInNiBi2 | Alexandria via LeMat-Bulk | PBE | relaxed
data_NbInNiBi2
_chemical_formula_sum 'Nb1 In1 Ni1 Bi2'
_cell_length_a 5.6436
_cell_length_b 4.6293
_cell_length_c 5.6436
_cell_angle_alpha 90.00
_cell_angle_beta 90.00
_cell_angle_gamma 90.00
_space_group_name_H-M_alt 'P 1'
_space_group_IT_number 1
_space_group_name_Hall 'P 1'
loop_
_atom_site_label
_atom_site_fract_x
_atom_site_fract_y
_atom_site_fract_z
In1 0.0000 0.0000 0.0000
Bi1 0.5000 0.0000 0.0000
Bi2 0.0000 0.0000 0.5000
Nb1 0.5000 0.5000 0.5000
Ni1 0.0000 0.5000 0.0000
# - ρ: 7.71 g cm⁻³
# - M_tot: 2.49 μB/f.u.
# - Uncorrected energy: -3.971 eV per atom

***

Record 3
# NbInBi2O7 | Alexandria via LeMat-Bulk | PBE | relaxed
data_NbInBi2O7
_chemical_formula_sum 'Nb2 In2 Bi4 O14'
_cell_length_a 7.6287
_cell_length_b 7.6287
_cell_length_c 7.6287
_cell_angle_alpha 120.62
_cell_angle_beta 119.66
_cell_angle_gamma 89.76
_space_group_name_H-M_alt 'P 1'
_space_group_IT_number 1
_space_group_name_Hall 'P 1'
loop_
_atom_site_label
_atom_site_fract_x
_atom_site_fract_y
_atom_site_fract_z
O1 0.8797 0.1297 0.7500
O2 0.1499 0.8233 0.7208
O3 0.6002 0.8502 0.7500
O4 0.1203 0.8703 0.2500
O5 0.3975 0.1767 0.8266
O6 0.6025 0.8233 0.1734
O7 0.8501 0.5709 0.6734
O8 0.3975 0.5709 0.2208
O9 0.7952 0.5452 0.2500
O10 0.2048 0.4548 0.7500
O11 0.8501 0.1767 0.2792
O12 0.6025 0.4291 0.7792
O13 0.3998 0.1498 0.2500
O14 0.1499 0.4291 0.3266
Bi1 0.0000 0.5000 0.0000
Bi2 0.0000 0.0000 0.0000
Bi3 0.0000 0.0000 0.5000
Bi4 0.5000 0.0000 0.5000
Nb1 0.0000 0.5000 0.5000
Nb2 0.5000 0.5000 0.0000
In1 0.5000 0.5000 0.5000
In2 0.5000 0.0000 0.0000
# - ρ: 7.82 g cm⁻³
# - M_tot: 0.00 μB/f.u.
# - Uncorrected energy: -6.745 eV per atom
# - Formation energy (no corrections): -1.719 eV per atom

***

Record 4
# NbInBiO6 | Alexandria via LeMat-Bulk | PBE | relaxed
data_NbInBiO6
_chemical_formula_sum 'Nb2 In2 Bi2 O12'
_cell_length_a 4.9593
_cell_length_b 4.9593
_cell_length_c 10.1206
_cell_angle_alpha 90.00
_cell_angle_beta 90.00
_cell_angle_gamma 90.00
_space_group_name_H-M_alt 'P 1'
_space_group_IT_number 1
_space_group_name_Hall 'P 1'
loop_
_atom_site_label
_atom_site_fract_x
_atom_site_fract_y
_atom_site_fract_z
Bi1 0.0000 0.0000 0.9941
Bi2 0.5000 0.5000 0.4941
O1 0.7911 0.2089 0.8295
O2 0.6807 0.6807 0.9912
O3 0.6918 0.6918 0.6856
O4 0.2089 0.7911 0.8295
O5 0.2911 0.2911 0.3295
O6 0.3082 0.3082 0.6856
O7 0.3193 0.3193 0.9912
O8 0.1918 0.8082 0.1856
O9 0.7089 0.7089 0.3295
O10 0.8193 0.1807 0.4912
O11 0.1807 0.8193 0.4912
O12 0.8082 0.1918 0.1856
Nb1 0.5000 0.5000 0.8263
Nb2 0.0000 0.0000 0.3263
In1 0.0000 0.0000 0.6670
In2 0.5000 0.5000 0.1670
# - ρ: 6.84 g cm⁻³
# - M_tot: 0.00 μB/f.u.
# - Uncorrected energy: -6.882 eV per atom
# - Formation energy (no corrections): -1.722 eV per atom

***

Record 5
# Nb2InBiO | Alexandria via LeMat-Bulk | PBE | relaxed
data_Nb2InBiO
_chemical_formula_sum 'Nb2 In1 Bi1 O1'
_cell_length_a 5.4200
_cell_length_b 5.8883
_cell_length_c 5.4200
_cell_angle_alpha 90.00
_cell_angle_beta 90.00
_cell_angle_gamma 90.00
_space_group_name_H-M_alt 'P 1'
_space_group_IT_number 1
_space_group_name_Hall 'P 1'
loop_
_atom_site_label
_atom_site_fract_x
_atom_site_fract_y
_atom_site_fract_z
Bi1 0.0000 0.0000 0.0000
Nb1 0.0000 0.0000 0.5000
Nb2 0.5000 0.0000 0.0000
O1 0.5000 0.5000 0.5000
In1 0.0000 0.5000 0.0000
# - ρ: 5.05 g cm⁻³
# - M_tot: 6.26 μB/f.u.
# - Uncorrected energy: -4.301 eV per atom
# - Formation energy (no corrections): 2.042 eV per atom

***

Record 6
# NbTlIn2Bi | Alexandria via LeMat-Bulk | PBE | relaxed
data_NbTlIn2Bi
_chemical_formula_sum 'Nb1 Tl1 In2 Bi1'
_cell_length_a 5.9644
_cell_length_b 5.4675
_cell_length_c 5.9644
_cell_angle_alpha 90.00
_cell_angle_beta 90.00
_cell_angle_gamma 90.00
_space_group_name_H-M_alt 'P 1'
_space_group_IT_number 1
_space_group_name_Hall 'P 1'
loop_
_atom_site_label
_atom_site_fract_x
_atom_site_fract_y
_atom_site_fract_z
In1 0.0000 0.0000 0.5000
In2 0.5000 0.0000 0.0000
Bi1 0.0000 0.0000 0.0000
Nb1 0.0000 0.5000 0.0000
Tl1 0.5000 0.5000 0.5000
# - ρ: 6.28 g cm⁻³
# - M_tot: 2.93 μB/f.u.
# - Uncorrected energy: -3.352 eV per atom

***

Record 7
# NdInBi2 | Alexandria via LeMat-Bulk | PBE | relaxed
data_NdInBi2
_chemical_formula_sum 'Nd1 In1 Bi2'
_cell_length_a 3.4805
_cell_length_b 3.4805
_cell_length_c 12.8300
_cell_angle_alpha 82.20
_cell_angle_beta 82.20
_cell_angle_gamma 60.00
_space_group_name_H-M_alt 'P 1'
_space_group_IT_number 1
_space_group_name_Hall 'P 1'
loop_
_atom_site_label
_atom_site_fract_x
_atom_site_fract_y
_atom_site_fract_z
In1 0.5000 0.5000 0.5000
Nd1 0.0000 0.0000 0.0000
Bi1 0.0863 0.0863 0.7410
Bi2 0.9137 0.9137 0.2590
# - ρ: 8.46 g cm⁻³
# - M_tot: 0.00 μB/f.u.
# - Polymorph energy (0 for the lowest one): 0.535 eV/atom
# - Uncorrected energy: -3.733 eV per atom

***

Record 8
# NdInBi2 | Alexandria via LeMat-Bulk | PBE | relaxed
data_NdInBi2
_chemical_formula_sum 'Nd2 In2 Bi4'
_cell_length_a 4.6216
_cell_length_b 4.6216
_cell_length_c 11.5146
_cell_angle_alpha 90.00
_cell_angle_beta 90.00
_cell_angle_gamma 90.00
_space_group_name_H-M_alt 'P 1'
_space_group_IT_number 1
_space_group_name_Hall 'P 1'
loop_
_atom_site_label
_atom_site_fract_x
_atom_site_fract_y
_atom_site_fract_z
In1 0.0000 0.0000 0.0000
In2 0.5000 0.5000 0.0000
Bi1 0.0000 0.0000 0.5000
Bi2 0.5000 0.5000 0.5000
Bi3 0.5000 0.0000 0.2321
Bi4 0.0000 0.5000 0.7679
Nd1 0.0000 0.5000 0.2725
Nd2 0.5000 0.0000 0.7275
# - ρ: 9.14 g cm⁻³
# - M_tot: 0.00 μB/f.u.
# - Polymorph energy (0 for the lowest one): 0.016 eV/atom
# - Uncorrected energy: -4.251 eV per atom